1.
5
Lattice="-4.508 1.117 -2.932 0.776 -4.577 -2.936 -3.041 -2.824 3.599" Properties=species:S:1:pos:R:3 comment="La3GaIr | the Alexandria database | meta-GGA SCAN | PBEsol geometry" sg="Pm-3m (221)" m_tot_mub_per_cell=0.000 formation_enthalpy_0k_ev_per_atom=-0.470 crystal_system=cubic pbc="T T T"
Ir 0.000 0.000 0.000
La 0.388 -2.288 -1.468
Ga -3.387 -3.142 -1.135
La -2.254 0.559 -1.466
La -1.520 -1.412 1.799



2.
10
Lattice="2.876 0.000 0.000 0.000 7.162 0.000 0.000 0.000 7.162" Properties=species:S:1:pos:R:3 comment="LiGa2Ir2 | the Alexandria database | meta-GGA SCAN | PBEsol geometry" sg="P4/mbm (127)" m_tot_mub_per_cell=0.000 formation_enthalpy_0k_ev_per_atom=-0.518 crystal_system=tetragonal pbc="T T T"
Ga 1.438 1.098 4.679
Li 0.000 0.000 0.000
Ga 1.438 4.679 6.063
Ga 1.438 2.482 1.098
Li 0.000 3.581 3.581
Ir 0.000 2.544 6.125
Ir 0.000 6.125 4.618
Ir 0.000 4.618 1.037
Ga 1.438 6.063 2.482
Ir 0.000 1.037 2.544



3.
6
Lattice="4.338 0.000 0.000 -2.169 3.757 0.000 0.000 0.000 5.065" Properties=species:S:1:pos:R:3 comment="LiGaIr | the Alexandria database | meta-GGA SCAN | PBEsol geometry" sg="P6_3/mmc (194)" m_tot_mub_per_cell=0.000 formation_enthalpy_0k_ev_per_atom=-0.423 crystal_system=hexagonal pbc="T T T"
Li 0.000 0.000 2.533
Li 0.000 0.000 0.000
Ga 0.000 2.505 3.799
Ir 0.000 2.505 1.266
Ir 2.169 1.252 3.799
Ga 2.169 1.252 1.266



4.
4
Lattice="-1.293 -0.109 -4.092 -2.088 -3.438 -1.501 -4.181 0.268 -0.938" Properties=species:S:1:pos:R:3 comment="MgGaIr2 | the Alexandria database | meta-GGA SCAN | PBEsol geometry" sg="Fm-3m (225)" m_tot_mub_per_cell=0.000 formation_enthalpy_0k_ev_per_atom=-0.557 crystal_system=cubic pbc="T T T"
Ir -5.671 -2.459 -4.899
Mg 0.000 0.000 0.000
Ir -1.890 -0.820 -1.633
Ga -3.781 -1.640 -3.266



5.
10
Lattice="-1.234 -1.528 -2.168 5.527 -4.623 0.111 -3.484 -4.050 4.837" Properties=species:S:1:pos:R:3 comment="MgGa2Ir2 | the Alexandria database | meta-GGA SCAN | PBEsol geometry" sg="P4/mbm (127)" m_tot_mub_per_cell=0.000 formation_enthalpy_0k_ev_per_atom=-0.547 crystal_system=tetragonal pbc="T T T"
Ga 0.021 -7.212 3.096
Mg 1.022 -4.336 2.474
Ga 0.787 -2.989 -0.316
Ga 2.860 -6.104 0.699
Ir -0.419 -2.109 1.725
Mg 0.000 0.000 0.000
Ir 2.462 -6.564 3.224
Ga -2.051 -4.097 2.081
Ir -1.021 -5.088 4.166
Ir 3.064 -3.585 0.782



6.
10
Lattice="-4.111 0.623 0.383 -0.385 -4.946 3.910 1.038 3.814 4.927" Properties=species:S:1:pos:R:3 comment="Mg2GaIr2 | the Alexandria database | meta-GGA SCAN | PBEsol geometry" sg="P4/mbm (127)" m_tot_mub_per_cell=0.000 formation_enthalpy_0k_ev_per_atom=-0.604 crystal_system=tetragonal pbc="T T T"
Ga 0.326 -0.566 4.418
Ir 0.754 1.500 5.644
Ir 0.333 -1.811 6.516
Mg -2.029 -2.541 5.111
Mg -1.445 0.212 6.906
Ir 0.320 0.680 2.321
Mg -1.429 2.033 4.109
Ir -0.101 -2.631 3.193
Mg -2.014 -0.720 2.314
Ga 0.000 0.000 0.000